[1]
Here is a geometry-optimized KAg2Ru structure from the Alexandria database. Energies are from PBE.

Cell and atoms, written as extended XYZ:
```
8
Lattice="6.797 0.000 0.000 0.000 8.355 0.000 0.000 0.000 2.744" Properties=species:S:1:pos:R:3 pbc="T T T"
K 0.000 0.000 0.000
K 3.398 4.177 0.000
Ag 1.699 2.089 1.372
Ag 1.699 6.266 1.372
Ag 5.098 2.089 1.372
Ag 5.098 6.266 1.372
Ru 0.000 4.177 0.000
Ru 3.398 0.000 0.000
```

Calculated values
ΔE to the lowest computed polymorph   84.0 meV/atom
Total magnetization   0.000 μB per formula unit
SG   Cmmm, No. 65
Energy relative to the elements   657 meV/atom



[2]
Here is a geometry-optimized K2AgRu structure from the Alexandria database. Energies are from PBE.

Cell and atoms, written as extended XYZ:
```
16
Lattice="7.947 0.000 0.000 0.000 7.947 0.000 0.000 0.000 7.947" Properties=species:S:1:pos:R:3 pbc="T T T"
K 1.987 1.987 1.987
K 1.987 1.987 5.960
K 1.987 5.960 1.987
K 1.987 5.960 5.960
K 5.960 1.987 1.987
K 5.960 1.987 5.960
K 5.960 5.960 1.987
K 5.960 5.960 5.960
Ag 0.000 0.000 0.000
Ag 0.000 3.974 3.974
Ag 3.974 0.000 3.974
Ag 3.974 3.974 0.000
Ru 0.000 0.000 3.974
Ru 0.000 3.974 0.000
Ru 3.974 0.000 0.000
Ru 3.974 3.974 3.974
```

Calculated values
ΔE to the lowest computed polymorph   438.7 meV/atom
Total magnetization   2.662 μB per formula unit
SG   Fm-3m, No. 225
Energy relative to the elements   1157 meV/atom